[1]
Below is Dy6ThCo3 after structural relaxation, with properties calculated at the GGA-PBE level.

Cell: 7.2383 8.3854 8.3854 Å, 91.02 90.00 90.00°
Sites, in units of the cell vectors:
Co  0.6875  0.7482  0.0370
Dy  0.9078  0.0286  0.9714
Dy  0.3974  0.9922  0.4862
Co  0.1875  0.2518  0.9630
Dy  0.1393  0.2803  0.2757
Co  0.1875  0.0370  0.7482
Th  0.1341  0.3349  0.6651
Dy  0.8974  0.4862  0.9922
Co  0.8792  0.4907  0.5093
Dy  0.4078  0.9714  0.0286
Dy  0.6159  0.3123  0.6877
Dy  0.1393  0.7243  0.7197
Dy  0.6393  0.2757  0.2803
Co  0.6875  0.9630  0.2518
Dy  0.8974  0.0078  0.5138
Th  0.6341  0.6651  0.3349
Dy  0.1159  0.6877  0.3123
Co  0.3792  0.5093  0.4907
Dy  0.3974  0.5138  0.0078
Dy  0.6393  0.7197  0.7243

DOS(E_F) = 1.018 states/eV per atom
Energy relative to the elements = -6.7 kJ per mole of atoms
Size of the total moment = 0.00 μB per formula unit


[2]
Below is TaTl2Cu after structural relaxation, with properties calculated at the GGA-PBE level.

Cell: 6.2012 6.2012 6.2012 Å, 151.27 132.35 56.59°
Sites, in units of the cell vectors:
Cu  0.4704  0.4704  0.0000
Ta  0.2745  0.7745  0.5000
Tl  0.7373  0.2373  0.5000
Tl  0.0178  0.0178  0.0000

DOS(E_F) = 0.680 states/eV per atom
Energy relative to the elements = 51.3 kJ per mole of atoms
Size of the total moment = 0.00 μB per formula unit


[3]
Below is MgNi after structural relaxation, with properties calculated at the GGA-PBE level.

Cell: 8.1672 8.1672 4.1462 Å, 90.00 90.00 90.00°
Sites, in units of the cell vectors:
Mg  0.1342  0.2768  0.5000
Ni  0.3025  0.4030  0.0000
Mg  0.2768  0.8658  0.5000
Ni  0.7065  0.4395  0.5000
Ni  0.6975  0.5970  0.0000
Mg  0.6437  0.8974  0.0000
Mg  0.8658  0.7232  0.5000
Mg  0.3563  0.1026  0.0000
Ni  0.4395  0.2935  0.5000
Ni  0.2935  0.5605  0.5000
Ni  0.5970  0.3025  0.0000
Mg  0.7232  0.1342  0.5000
Mg  0.1026  0.6437  0.0000
Ni  0.5605  0.7065  0.5000
Mg  0.8974  0.3563  0.0000
Ni  0.4030  0.6975  0.0000

DOS(E_F) = 0.617 states/eV per atom
Energy relative to the elements = 5.4 kJ per mole of atoms
Size of the total moment = 0.00 μB per formula unit


[4]
Below is Ac2CdGaIr after structural relaxation, with properties calculated at the GGA-PBE level.

Cell: 4.7243 7.7454 8.2656 Å, 110.15 90.00 90.00°
Sites, in units of the cell vectors:
Ac  0.2500  0.1402  0.3417
Ac  0.7500  0.7258  0.0562
Cd  0.7500  0.3429  0.6521
Ac  0.7500  0.8598  0.6583
Ac  0.2500  0.2742  0.9438
Ga  0.7500  0.4451  0.3120
Ir  0.7500  0.1276  0.0910
Ir  0.2500  0.8724  0.9090
Cd  0.2500  0.6571  0.3479
Ga  0.2500  0.5549  0.6880

DOS(E_F) = 0.678 states/eV per atom
Energy relative to the elements = -48.3 kJ per mole of atoms
Size of the total moment = 0.00 μB per formula unit


[5]
Below is KSc2ReO8 after structural relaxation, with properties calculated at the GGA-PBE level.

Cell: 4.7920 4.7887 7.1820 Å, 90.00 90.00 90.28°
Sites, in units of the cell vectors:
O  0.1934  0.8062  0.8146
O  0.7094  0.7095  0.0000
Sc  0.5000  0.5000  0.2167
O  0.8066  0.1938  0.1854
O  0.6104  0.6118  0.5000
O  0.3896  0.3882  0.5000
Sc  0.5000  0.5000  0.7833
O  0.2906  0.2905  0.0000
Re  0.0000  0.0000  0.0000
O  0.1934  0.8062  0.1854
K  0.0000  0.0000  0.5000
O  0.8066  0.1938  0.8146

Raw formation energy = -2.1918 eV/atom
Size of the total moment = 0.00 μB per formula unit


[6]
Below is Cu3AgPt after structural relaxation, with properties calculated at the GGA-PBE level.

Cell: 4.5920 4.5920 4.5920 Å, 90.00 90.00 90.00°
Sites, in units of the cell vectors:
Ag  0.0000  0.0000  0.0000
Cu  0.0000  0.5000  0.0000
Cu  0.0000  0.0000  0.5000
Pt  0.5000  0.5000  0.5000
Cu  0.5000  0.0000  0.0000

DOS(E_F) = 0.320 states/eV per atom
Energy relative to the elements = 114.9 kJ per mole of atoms
Size of the total moment = 0.00 μB per formula unit


[7]
Below is Ce6Al2Hg after structural relaxation, with properties calculated at the GGA-PBE level.

Cell: 4.0380 9.0172 9.0172 Å, 47.93 77.06 77.06°
Last column: magnetic moment on the atom in μB.
Sites, in units of the cell vectors:
Ce  0.8095  0.8999  0.4812  0.66
Ce  0.1905  0.5188  0.1001  0.66
Ce  0.1905  0.1001  0.5188  0.66
Hg  0.5000  0.5000  0.5000  -0.01
Al  0.3720  0.1280  0.1280  -0.01
Ce  0.0000  0.8201  0.1799  0.64
Al  0.6280  0.8720  0.8720  -0.01
Ce  0.0000  0.1799  0.8201  0.64
Ce  0.8095  0.4812  0.8999  0.66

DOS(E_F) = 2.813 states/eV per atom
Energy relative to the elements = 1.3 kJ per mole of atoms
Size of the total moment = 4.52 μB per formula unit


[8]
Below is ScGaPt after structural relaxation, with properties calculated at the GGA-PBE level.

Cell: 4.4024 4.4024 4.4024 Å, 60.00 60.00 60.00°
Sites, in units of the cell vectors:
Ga  0.5000  0.5000  0.5000
Pt  0.2500  0.2500  0.2500
Sc  0.0000  0.0000  0.0000

DOS(E_F) = 1.499 states/eV per atom
Energy relative to the elements = -85.8 kJ per mole of atoms
Size of the total moment = 0.00 μB per formula unit


[9]
Below is La8H3C3O after structural relaxation, with properties calculated at the GGA-PBE level.

Cell: 7.5178 7.5174 7.7459 Å, 119.06 90.00 120.00°
Sites, in units of the cell vectors:
La  0.7575  0.5150  0.2758
La  0.2425  0.4850  0.7242
La  0.2425  0.9820  0.7242
H  0.5000  0.5000  0.0000
H  0.0000  0.0000  0.0000
H  0.0000  0.5000  0.0000
La  0.2550  0.5100  0.2654
La  0.7450  0.4900  0.7346
C  0.5000  0.5000  0.5000
La  0.7575  0.0180  0.2758
C  0.0000  0.5000  0.5000
C  0.5000  0.0000  0.5000
La  0.2605  0.0180  0.2758
La  0.7395  0.9820  0.7242
O  0.0000  0.0000  0.5000

DOS(E_F) = 0.599 states/eV per atom
Calculated total energy = -91.37 eV/cell
Size of the total moment = 0.00 μB per formula unit


[10]
Below is KSbTe2H after structural relaxation, with properties calculated at the GGA-PBE level.

Cell: 5.4982 5.4982 4.2363 Å, 90.00 90.00 90.00°
Sites, in units of the cell vectors:
Sb  0.0000  0.0000  0.5000
Te  0.0000  0.5000  0.0000
K  0.5000  0.5000  0.5000
Te  0.5000  0.0000  0.0000
H  0.0000  0.0000  0.0000

DOS(E_F) = 0.692 states/eV per atom
Calculated total energy = -14.52 eV/cell
Size of the total moment = 0.00 μB per formula unit


[11]
Below is Rb4CdAg3 after structural relaxation, with properties calculated at the GGA-PBE level.

Cell: 5.1643 5.0678 13.0042 Å, 90.00 90.00 90.00°
Sites, in units of the cell vectors:
Ag  0.0000  0.0000  0.4508
Rb  0.0000  0.5000  0.8452
Rb  0.5000  0.0000  0.6425
Rb  0.0000  0.0000  0.1496
Ag  0.5000  0.0000  0.9448
Ag  0.0000  0.5000  0.5520
Cd  0.5000  0.5000  0.0527
Rb  0.5000  0.5000  0.3625

DOS(E_F) = 0.398 states/eV per atom
Energy relative to the elements = 1.7 kJ per mole of atoms
Size of the total moment = 0.00 μB per formula unit


[12]
Below is PrHo7Tm12 after structural relaxation, with properties calculated at the GGA-PBE level.

Cell: 9.6640 9.6640 9.6640 Å, 109.47 109.47 109.47°
Sites, in units of the cell vectors:
Tm  0.7429  0.7428  0.4857
Tm  0.5143  0.2571  0.2572
Ho  0.5000  0.0000  0.5000
Tm  0.2572  0.0001  0.7429
Ho  0.0000  0.5000  0.5000
Ho  0.5000  0.5000  0.5000
Tm  0.2571  0.7428  0.9999
Ho  0.5000  0.5000  0.0000
Tm  0.7428  0.9999  0.2571
Tm  0.9999  0.2571  0.7428
Tm  0.7429  0.2572  0.0001
Tm  0.7428  0.4857  0.7429
Ho  0.0000  0.5000  0.0000
Tm  0.4857  0.7429  0.7428
Ho  0.5000  0.0000  0.0000
Ho  0.0000  0.0000  0.5000
Tm  0.2572  0.5143  0.2571
Pr  0.0000  0.0000  0.0000
Tm  0.0001  0.7429  0.2572
Tm  0.2571  0.2572  0.5143

DOS(E_F) = 1.281 states/eV per atom
Energy relative to the elements = 70.8 kJ per mole of atoms
Size of the total moment = 0.00 μB per formula unit


> size of the total moment of number 2 (TaTl2Cu)?

0.00 μB per formula unit


Repeat the third record exactly.
Below is MgNi after structural relaxation, with properties calculated at the GGA-PBE level.

Cell: 8.1672 8.1672 4.1462 Å, 90.00 90.00 90.00°
Sites, in units of the cell vectors:
Mg  0.1342  0.2768  0.5000
Ni  0.3025  0.4030  0.0000
Mg  0.2768  0.8658  0.5000
Ni  0.7065  0.4395  0.5000
Ni  0.6975  0.5970  0.0000
Mg  0.6437  0.8974  0.0000
Mg  0.8658  0.7232  0.5000
Mg  0.3563  0.1026  0.0000
Ni  0.4395  0.2935  0.5000
Ni  0.2935  0.5605  0.5000
Ni  0.5970  0.3025  0.0000
Mg  0.7232  0.1342  0.5000
Mg  0.1026  0.6437  0.0000
Ni  0.5605  0.7065  0.5000
Mg  0.8974  0.3563  0.0000
Ni  0.4030  0.6975  0.0000

DOS(E_F) = 0.617 states/eV per atom
Energy relative to the elements = 5.4 kJ per mole of atoms
Size of the total moment = 0.00 μB per formula unit